Entry from the Alexandria database: a relaxed structure of Ta5W (GGA-PBE).

Structure (extended XYZ):
```
6
Lattice="-0.306 -1.353 -2.392 2.698 0.308 -0.519 2.685 -12.354 6.642" Properties=species:S:1:pos:R:3 pbc="T T T"
Ta 1.343 -6.177 3.321
Ta 2.992 -8.782 2.985
Ta 0.440 -2.025 1.089
Ta 2.086 -4.617 0.746
W 1.196 -0.522 -1.455
Ta 2.245 -10.329 5.553
```

Output
Uncorrected energy, eV/atom: -11.836
Size of the total moment, μB/f.u.: 0.00
Fermi-level density of states, states/eV/f.u.: 7.09
Energy of formation from the pure elements, kcal/mol of atoms: 4.609

---

Entry from the Alexandria database: a relaxed structure of TaW5 (GGA-PBE).

Structure (extended XYZ):
```
6
Lattice="-3.049 -0.694 0.671 0.395 -3.022 6.291 -0.487 4.045 1.974" Properties=species:S:1:pos:R:3 pbc="T T T"
Ta 0.288 -2.873 5.960
W -1.480 -1.198 7.282
W -2.760 0.586 3.312
W -0.983 -1.102 2.016
W -1.885 -2.317 4.284
W -0.595 0.041 4.962
```

Output
Uncorrected energy, eV/atom: -12.838
Size of the total moment, μB/f.u.: 0.00
Fermi-level density of states, states/eV/f.u.: 2.88
Energy of formation from the pure elements, kcal/mol of atoms: -1.585

---

Entry from the Alexandria database: a relaxed structure of Ta5W (GGA-PBE).

Structure (extended XYZ):
```
6
Lattice="-2.455 2.135 0.408 -0.797 -0.311 -3.165 -6.130 -7.485 2.280" Properties=species:S:1:pos:R:3 pbc="T T T"
W -4.691 -2.831 -0.239
Ta -4.043 -4.937 1.503
Ta -2.656 -0.346 -0.995
Ta 0.000 0.000 0.000
Ta -2.087 -2.549 0.776
Ta -6.726 -5.315 0.518
```

Output
Uncorrected energy, eV/atom: -12.072
Size of the total moment, μB/f.u.: 0.00
Fermi-level density of states, states/eV/f.u.: 6.29
Energy of formation from the pure elements, kcal/mol of atoms: -0.826

---

uncorrected energy of number 1 (Ta5W)? -11.836 eV/atom